A relaxed structure of SrMo3. Source: Alexandria via LeMat-Bulk, functional GGA-PBE.

Cell lengths 5.761, 5.761, 2.692 Å; angles 90.00, 90.00, 122.17 degrees
Sites, in units of the cell vectors:
Mo  0.000  0.500  0.500
Mo  0.500  0.000  0.500
Mo  0.500  0.500  0.000
Sr  0.000  0.000  0.000

Results
As for the space group: Cmmm. The calculation puts the density of states at the Fermi level at 1.270 states/eV per atom. The spin magnetization comes out at 0.000 μB/f.u. The value obtained for the energy above the most stable polymorph in this dataset is 0.431 eV per atom. The value obtained for the formation enthalpy at 0 K is 1.12 eV/atom.